Entry from Alexandria: a geometry-optimized Si2SbSe structure (PBE).

Lattice parameters (Å, degrees): 3.3693 4.8499 6.9155 45.34 90.00 90.00
Positions (direct):
Sb 0.5000 0.5000 0.5000
Si 0.5000 0.5000 0.0000
Si 0.0000 0.0000 0.0000
Se 0.0000 0.0000 0.5000

Calculated values
Mass density: 5.31 g/cm3
Relative energy among the computed polymorphs: 0.442 eV per atom
VASP energy: -4.100 eV/atom
DOS at the Fermi energy: 1.30 states/eV/cell